The following is a GGA-PBE calculation of Sc8SiTc2 after structural relaxation, from the Alexandria database.

Cell: 16.2253 4.5447 6.6052 Å, 90.00 110.76 90.00°
Last column: nearest neighbours and their distance in Å.
Space group Cm (No. 8)
Unique sites:
Sc (0.0000, 0.0000, 0.0000)  1 Tc 2.71
Sc (0.0282, 0.5000, 0.3413)  3 Tc 2.78-2.91, 1 Si 2.84, 2 Sc 3.04-3.08
Sc (0.0998, 0.5000, 0.8337)  3 Tc 2.84-2.85, 4 Sc 3.03-3.10
Sc (0.1674, 0.0000, 0.5032)  3 Tc 2.77-2.85, 3 Sc 3.08-3.09
Sc (0.2132, 0.0000, 0.0868)  2 Tc 2.72, 1 Si 2.86, 2 Sc 3.03
Sc (0.2967, 0.5000, 0.7220)  1 Tc 2.77, 2 Si 2.82, 2 Sc 3.08
Sc (0.3542, 0.5000, 0.2381)  2 Tc 2.78-2.79, 2 Si 2.91
Sc (0.3978, 0.0000, 0.5842)  1 Si 2.80, 2 Tc 2.89, 6 Sc 3.08-3.12
Si (0.3690, 0.0000, 0.9772)  9 Sc 2.80-3.08
Tc (0.0093, 0.0000, 0.5978)  9 Sc 2.71-2.91
Tc (0.1905, 0.5000, 0.2885)  8 Sc 2.72-2.84

Summary:
magnetic moment = 0.00 μB/atom
uncorrected formation energy = -0.2673 eV/atom